Record 1
# KTlZn2I6, optimized geometry, DFT PBE
data_KTlZn2I6
_cell_length_a 8.553
_cell_length_b 13.656
_cell_length_c 17.743
_cell_angle_alpha 90.00
_cell_angle_beta 103.09
_cell_angle_gamma 90.00
_symmetry_space_group_name_H-M 'C 1 2/c 1'
_symmetry_Int_Tables_number 15
loop_
_symmetry_equiv_pos_as_xyz
'x,y,z'
'-x,-y,-z'
'-x,y,-z+1/2'
'x,-y,z+1/2'
'x+1/2,y+1/2,z'
'-x+1/2,-y+1/2,-z'
'-x+1/2,y+1/2,-z+1/2'
'x+1/2,-y+1/2,z+1/2'
loop_
_atom_site_label
_atom_site_type_symbol
_atom_site_fract_x
_atom_site_fract_y
_atom_site_fract_z
_atom_site_occupancy
K1 K 0.000 0.142 0.250 1
Tl1 Tl 0.000 0.463 0.750 1
Zn1 Zn 0.159 0.153 0.833 1
I1 I 0.169 0.149 0.680 1
I2 I 0.221 0.491 0.605 1
I3 I 0.235 0.178 0.113 1
# E_form (uncorrected) = -0.765 eV per atom
# uncorrected energy = -2.2959 eV per atom


Record 2
# BeCu4Sb, optimized geometry, DFT PBE
data_BeCu4Sb
_cell_length_a 6.937
_cell_length_b 6.937
_cell_length_c 6.937
_cell_angle_alpha 90.00
_cell_angle_beta 90.00
_cell_angle_gamma 90.00
_symmetry_space_group_name_H-M 'F -4 3 m'
_symmetry_Int_Tables_number 216
_symmetry_space_group_name_Hall 'F -4 2 3'
loop_
_atom_site_label
_atom_site_type_symbol
_atom_site_fract_x
_atom_site_fract_y
_atom_site_fract_z
_atom_site_occupancy
Be1 Be 0.000 0.000 0.000 1
Cu1 Cu 0.126 0.126 0.626 1
Sb1 Sb 0.250 0.250 0.250 1
# E_form (uncorrected) = 0.227 eV per atom
# uncorrected energy = -3.8120 eV per atom


Record 3
# SnHPbI2, optimized geometry, DFT PBE
data_SnHPbI2
_cell_length_a 6.206
_cell_length_b 6.206
_cell_length_c 6.035
_cell_angle_alpha 90.00
_cell_angle_beta 90.00
_cell_angle_gamma 90.00
_symmetry_space_group_name_H-M 'P 4/m m m'
_symmetry_Int_Tables_number 123
_symmetry_space_group_name_Hall '-P 4 2'
loop_
_atom_site_label
_atom_site_type_symbol
_atom_site_fract_x
_atom_site_fract_y
_atom_site_fract_z
_atom_site_occupancy
Sn1 Sn 0.000 0.000 0.000 1
H1 H 0.500 0.500 0.500 1
Pb1 Pb 0.000 0.000 0.500 1
I1 I 0.000 0.500 0.000 1
# uncorrected energy = -2.3457 eV per atom


Record 4
# Sr2SmCu9, optimized geometry, DFT PBE
data_Sr2SmCu9
_cell_length_a 5.2688
_cell_length_b 5.2688
_cell_length_c 26.0139
_cell_angle_alpha 90.00
_cell_angle_beta 90.00
_cell_angle_gamma 120.00
_symmetry_space_group_name_H-M 'R -3 m'
_symmetry_Int_Tables_number 166
_symmetry_space_group_name_Hall '-R 3 2"'
loop_
_atom_site_label
_atom_site_type_symbol
_atom_site_fract_x
_atom_site_fract_y
_atom_site_fract_z
_atom_site_occupancy
Sr1 Sr 0.0000 0.0000 0.1410 1
Sm1 Sm 0.0000 0.0000 0.0000 1
Cu1 Cu 0.0000 0.0000 0.3315 1
Cu2 Cu 0.0000 0.0000 0.5000 1
Cu3 Cu 0.0065 0.5033 0.0775 1
# DFT formation energy = -54 meV/atom
# uncorrected energy = -3.8001 eV per atom


Record 5
# KNa3In2I6, optimized geometry, DFT PBE
data_KNa3In2I6
_cell_length_a 21.094
_cell_length_b 4.782
_cell_length_c 9.698
_cell_angle_alpha 90.00
_cell_angle_beta 104.56
_cell_angle_gamma 90.00
_symmetry_space_group_name_H-M 'C 1 2/m 1'
_symmetry_Int_Tables_number 12
loop_
_symmetry_equiv_pos_as_xyz
'x,y,z'
'-x,-y,-z'
'-x,y,-z'
'x,-y,z'
'x+1/2,y+1/2,z'
'-x+1/2,-y+1/2,-z'
'-x+1/2,y+1/2,-z'
'x+1/2,-y+1/2,z'
loop_
_atom_site_label
_atom_site_type_symbol
_atom_site_fract_x
_atom_site_fract_y
_atom_site_fract_z
_atom_site_occupancy
K1 K 0.000 0.000 0.000 1
Na1 Na 0.000 0.000 0.500 1
Na2 Na 0.167 0.500 0.834 1
In1 In 0.167 0.500 0.335 1
I1 I 0.005 0.500 0.735 1
I2 I 0.162 0.000 0.597 1
I3 I 0.173 0.000 0.072 1
# E_form (uncorrected) = -1.018 eV per atom
# uncorrected energy = -2.6711 eV per atom


Record 6
# Ga2GeIr, optimized geometry, DFT PBE
data_Ga2GeIr
_cell_length_a 3.581
_cell_length_b 8.599
_cell_length_c 4.709
_cell_angle_alpha 90.00
_cell_angle_beta 112.15
_cell_angle_gamma 90.00
_symmetry_space_group_name_H-M 'P 1 21/m 1'
_symmetry_Int_Tables_number 11
loop_
_symmetry_equiv_pos_as_xyz
'x,y,z'
'-x,-y,-z'
'-x,y+1/2,-z'
'x,-y+1/2,z'
loop_
_atom_site_label
_atom_site_type_symbol
_atom_site_fract_x
_atom_site_fract_y
_atom_site_fract_z
_atom_site_occupancy
Ga1 Ga 0.137 0.040 0.274 1
Ge1 Ge 0.427 0.250 0.857 1
Ir1 Ir 0.279 0.750 0.558 1
# DFT formation energy = -258 meV/atom
# uncorrected energy = -5.1407 eV per atom


Record 7
# La2AgIr, optimized geometry, DFT PBE
data_La2AgIr
_cell_length_a 4.321
_cell_length_b 4.321
_cell_length_c 6.000
_cell_angle_alpha 90.00
_cell_angle_beta 90.00
_cell_angle_gamma 90.00
_symmetry_space_group_name_H-M 'P 4 m m'
_symmetry_Int_Tables_number 99
loop_
_symmetry_equiv_pos_as_xyz
'x,y,z'
'-y,x,z'
'-x,-y,z'
'y,-x,z'
'-x,y,z'
'y,x,z'
'x,-y,z'
'-y,-x,z'
loop_
_atom_site_label
_atom_site_type_symbol
_atom_site_fract_x
_atom_site_fract_y
_atom_site_fract_z
_atom_site_occupancy
La1 La 0.000 0.000 0.000 1
La2 La 0.500 0.500 0.491 1
Ag1 Ag 0.000 0.000 0.501 1
Ir1 Ir 0.500 0.500 0.998 1
# DFT formation energy = -363 meV/atom
# uncorrected energy = -5.7547 eV per atom


Record 8
# LiVAs, optimized geometry, DFT PBE
data_LiVAs
_cell_length_a 4.4387
_cell_length_b 4.4387
_cell_length_c 5.4495
_cell_angle_alpha 90.00
_cell_angle_beta 90.00
_cell_angle_gamma 120.00
_symmetry_space_group_name_H-M 'P 63/m m c'
_symmetry_Int_Tables_number 194
_symmetry_space_group_name_Hall '-P 6c 2c'
loop_
_atom_site_label
_atom_site_type_symbol
_atom_site_fract_x
_atom_site_fract_y
_atom_site_fract_z
_atom_site_occupancy
Li1 Li 0.0000 0.0000 0.0000 1
V1 V 0.3333 0.6667 0.2500 1
As1 As 0.3333 0.6667 0.7500 1
# DFT formation energy = -244 meV/atom
# uncorrected energy = -5.4716 eV per atom


Record 9
# CaLaY2, optimized geometry, DFT PBE
data_CaLaY2
_cell_length_a 8.950
_cell_length_b 8.950
_cell_length_c 7.037
_cell_angle_alpha 90.00
_cell_angle_beta 90.00
_cell_angle_gamma 90.00
_symmetry_space_group_name_H-M 'I -4 2 d'
_symmetry_Int_Tables_number 122
_symmetry_space_group_name_Hall 'I -4 2bw'
loop_
_atom_site_label
_atom_site_type_symbol
_atom_site_fract_x
_atom_site_fract_y
_atom_site_fract_z
_atom_site_occupancy
Ca1 Ca 0.000 0.000 0.000 1
La1 La 0.000 0.000 0.500 1
Y1 Y 0.245 0.250 0.625 1
# DFT formation energy = 415 meV/atom
# uncorrected energy = -4.5489 eV per atom


Record 10
# Pm2In3Hg, optimized geometry, DFT PBE
data_Pm2In3Hg
_cell_length_a 7.444
_cell_length_b 9.943
_cell_length_c 17.166
_cell_angle_alpha 90.00
_cell_angle_beta 90.00
_cell_angle_gamma 90.00
_symmetry_space_group_name_H-M 'F m m m'
_symmetry_Int_Tables_number 69
_symmetry_space_group_name_Hall '-F 2 2'
loop_
_atom_site_label
_atom_site_type_symbol
_atom_site_fract_x
_atom_site_fract_y
_atom_site_fract_z
_atom_site_occupancy
Pm1 Pm 0.247 0.000 0.000 1
Pm2 Pm 0.250 0.250 0.250 1
In1 In 0.000 0.000 0.333 1
In2 In 0.000 0.250 0.084 1
Hg1 Hg 0.000 0.000 0.167 1
# DFT formation energy = -457 meV/atom
# uncorrected energy = -3.4597 eV per atom


Record 11
# NaPb2Cl, optimized geometry, DFT PBE
data_NaPb2Cl
_cell_length_a 4.322
_cell_length_b 4.322
_cell_length_c 28.871
_cell_angle_alpha 90.00
_cell_angle_beta 90.00
_cell_angle_gamma 90.00
_symmetry_space_group_name_H-M 'I -4 2 d'
_symmetry_Int_Tables_number 122
_symmetry_space_group_name_Hall 'I -4 2bw'
loop_
_atom_site_label
_atom_site_type_symbol
_atom_site_fract_x
_atom_site_fract_y
_atom_site_fract_z
_atom_site_occupancy
Na1 Na 0.000 0.000 0.000 1
Pb1 Pb 0.248 0.250 0.125 1
Cl1 Cl 0.000 0.000 0.500 1
# E_form (uncorrected) = -0.466 eV per atom
# uncorrected energy = -3.1120 eV per atom


Record 12
# PrSi4Pd12, optimized geometry, DFT PBE
data_PrSi4Pd12
_cell_length_a 8.407
_cell_length_b 8.407
_cell_length_c 8.407
_cell_angle_alpha 90.00
_cell_angle_beta 90.00
_cell_angle_gamma 90.00
_symmetry_space_group_name_H-M 'I m -3'
_symmetry_Int_Tables_number 204
_symmetry_space_group_name_Hall '-I 2 2 3'
loop_
_atom_site_label
_atom_site_type_symbol
_atom_site_fract_x
_atom_site_fract_y
_atom_site_fract_z
_atom_site_occupancy
Pr1 Pr 0.000 0.000 0.000 1
Si1 Si 0.250 0.250 0.250 1
Pd1 Pd 0.000 0.340 0.167 1
# E_form (uncorrected) = -0.458 eV per atom
# uncorrected energy = -5.6804 eV per atom


Record 13
# PuTl4, optimized geometry, DFT PBE
data_PuTl4
_cell_length_a 6.020
_cell_length_b 6.020
_cell_length_c 6.020
_cell_angle_alpha 90.00
_cell_angle_beta 90.00
_cell_angle_gamma 90.00
_symmetry_space_group_name_H-M 'P m -3 m'
_symmetry_Int_Tables_number 221
_symmetry_space_group_name_Hall '-P 4 2 3'
loop_
_atom_site_label
_atom_site_type_symbol
_atom_site_fract_x
_atom_site_fract_y
_atom_site_fract_z
_atom_site_occupancy
Pu1 Pu 0.000 0.000 0.000 1
Tl1 Tl 0.000 0.000 0.500 1
Tl2 Tl 0.500 0.500 0.500 1
# DFT formation energy = 586 meV/atom
# uncorrected energy = -4.1730 eV per atom


Record 14
# CeSn2Pt9, optimized geometry, DFT PBE
data_CeSn2Pt9
_cell_length_a 4.103
_cell_length_b 4.103
_cell_length_c 12.285
_cell_angle_alpha 90.00
_cell_angle_beta 90.00
_cell_angle_gamma 90.00
_symmetry_space_group_name_H-M 'P 4/m m m'
_symmetry_Int_Tables_number 123
_symmetry_space_group_name_Hall '-P 4 2'
loop_
_atom_site_label
_atom_site_type_symbol
_atom_site_fract_x
_atom_site_fract_y
_atom_site_fract_z
_atom_site_occupancy
Ce1 Ce 0.000 0.000 0.000 1
Sn1 Sn 0.000 0.000 0.336 1
Pt1 Pt 0.000 0.500 0.170 1
Pt2 Pt 0.000 0.500 0.500 1
Pt3 Pt 0.500 0.500 0.000 1
Pt4 Pt 0.500 0.500 0.337 1
# DFT formation energy = -582 meV/atom
# uncorrected energy = -6.2743 eV per atom


Record 15
# Sm6Dy2Y3In, optimized geometry, DFT PBE
data_Sm6Dy2Y3In
_cell_length_a 6.171
_cell_length_b 10.712
_cell_length_c 11.756
_cell_angle_alpha 90.00
_cell_angle_beta 100.18
_cell_angle_gamma 90.00
_symmetry_space_group_name_H-M 'C 1 2/m 1'
_symmetry_Int_Tables_number 12
loop_
_symmetry_equiv_pos_as_xyz
'x,y,z'
'-x,-y,-z'
'-x,y,-z'
'x,-y,z'
'x+1/2,y+1/2,z'
'-x+1/2,-y+1/2,-z'
'-x+1/2,y+1/2,-z'
'x+1/2,-y+1/2,z'
loop_
_atom_site_label
_atom_site_type_symbol
_atom_site_fract_x
_atom_site_fract_y
_atom_site_fract_z
_atom_site_occupancy
Sm1 Sm 0.246 0.000 0.252 1
Sm2 Sm 0.246 0.164 0.746 1
Dy1 Dy 0.000 0.334 0.500 1
Y1 Y 0.000 0.167 0.000 1
Y2 Y 0.000 0.500 0.000 1
In1 In 0.000 0.000 0.500 1
# DFT formation energy = -38 meV/atom
# uncorrected energy = -5.0089 eV per atom


Record 16
# CaNiC2, optimized geometry, DFT PBE
data_CaNiC2
_cell_length_a 5.622
_cell_length_b 5.622
_cell_length_c 5.622
_cell_angle_alpha 90.00
_cell_angle_beta 90.00
_cell_angle_gamma 90.00
_symmetry_space_group_name_H-M 'F m -3 m'
_symmetry_Int_Tables_number 225
_symmetry_space_group_name_Hall '-F 4 2 3'
loop_
_atom_site_label
_atom_site_type_symbol
_atom_site_fract_x
_atom_site_fract_y
_atom_site_fract_z
_atom_site_occupancy
Ca1 Ca 0.000 0.000 0.000 1
Ni1 Ni 0.000 0.000 0.500 1
C1 C 0.250 0.250 0.250 1
# DFT formation energy = 1388 meV/atom
# uncorrected energy = -5.1692 eV per atom


Record 17
# Ba2SrTl3, optimized geometry, DFT PBE
data_Ba2SrTl3
_cell_length_a 4.222
_cell_length_b 4.222
_cell_length_c 12.781
_cell_angle_alpha 90.00
_cell_angle_beta 90.00
_cell_angle_gamma 90.00
_symmetry_space_group_name_H-M 'P 4/m m m'
_symmetry_Int_Tables_number 123
_symmetry_space_group_name_Hall '-P 4 2'
loop_
_atom_site_label
_atom_site_type_symbol
_atom_site_fract_x
_atom_site_fract_y
_atom_site_fract_z
_atom_site_occupancy
Ba1 Ba 0.000 0.000 0.172 1
Sr1 Sr 0.000 0.000 0.500 1
Tl1 Tl 0.500 0.500 0.000 1
Tl2 Tl 0.500 0.500 0.348 1
# DFT formation energy = -413 meV/atom
# uncorrected energy = -2.5175 eV per atom


Record 18
# CsZnP, optimized geometry, DFT PBE
data_CsZnP
_cell_length_a 12.732
_cell_length_b 4.157
_cell_length_c 7.682
_cell_angle_alpha 90.00
_cell_angle_beta 90.00
_cell_angle_gamma 90.00
_symmetry_space_group_name_H-M 'P n m a'
_symmetry_Int_Tables_number 62
loop_
_symmetry_equiv_pos_as_xyz
'x,y,z'
'-x,-y,-z'
'-x+1/2,-y,z+1/2'
'x+1/2,y,-z+1/2'
'x+1/2,-y+1/2,-z+1/2'
'-x+1/2,y+1/2,z+1/2'
'-x,y+1/2,-z'
'x,-y+1/2,z'
loop_
_atom_site_label
_atom_site_type_symbol
_atom_site_fract_x
_atom_site_fract_y
_atom_site_fract_z
_atom_site_occupancy
Cs1 Cs 0.157 0.250 0.126 1
Zn1 Zn 0.054 0.750 0.546 1
P1 P 0.105 0.250 0.661 1
# DFT formation energy = -352 meV/atom
# uncorrected energy = -2.8647 eV per atom


Record 19
# Sc2BrCl, optimized geometry, DFT PBE
data_Sc2BrCl
_cell_length_a 3.5522
_cell_length_b 3.5522
_cell_length_c 29.1456
_cell_angle_alpha 90.00
_cell_angle_beta 90.00
_cell_angle_gamma 120.00
_symmetry_space_group_name_H-M 'R 3 m'
_symmetry_Int_Tables_number 160
_symmetry_space_group_name_Hall 'R 3 -2"'
loop_
_atom_site_label
_atom_site_type_symbol
_atom_site_fract_x
_atom_site_fract_y
_atom_site_fract_z
_atom_site_occupancy
Sc1 Sc 0.0000 0.0000 0.0000 1
Sc2 Sc 0.0000 0.0000 0.2470 1
Br1 Br 0.0000 0.0000 0.5184 1
Cl1 Cl 0.0000 0.0000 0.7220 1
# E_form (uncorrected) = -1.271 eV per atom
# uncorrected energy = -5.3169 eV per atom


Record 20
# YVCo2Sn, optimized geometry, DFT PBE
data_YVCo2Sn
_cell_length_a 4.535
_cell_length_b 4.535
_cell_length_c 5.589
_cell_angle_alpha 90.00
_cell_angle_beta 90.00
_cell_angle_gamma 90.00
_symmetry_space_group_name_H-M 'P 4/m m m'
_symmetry_Int_Tables_number 123
_symmetry_space_group_name_Hall '-P 4 2'
loop_
_atom_site_label
_atom_site_type_symbol
_atom_site_fract_x
_atom_site_fract_y
_atom_site_fract_z
_atom_site_occupancy
Y1 Y 0.000 0.000 0.000 1
V1 V 0.500 0.500 0.500 1
Co1 Co 0.000 0.500 0.000 1
Sn1 Sn 0.000 0.000 0.500 1
# DFT formation energy = 1764 meV/atom
# uncorrected energy = -4.9951 eV per atom